P.
DFT (PBE) results for a relaxed structure of La2YCr.

abc: 3.681 3.681 8.971
angles: 90.00 90.00 90.00
Atoms (fractional coordinates):
La1 0.000 0.000 0.000
La2 0.500 0.500 0.306
Y1 0.000 0.000 0.604
Cr1 0.500 0.500 0.793

Total magnetization   3.55 μB/cell

Q.
DFT (PBE) results for a relaxed structure of La2YCr.

abc: 3.806 3.806 8.493
angles: 90.00 90.00 90.00
Atoms (fractional coordinates):
La1 0.000 0.000 0.212
La2 0.000 0.000 0.788
Y1 0.500 0.500 0.500
Cr1 0.500 0.500 0.000

Total magnetization   3.15 μB/cell

Computed relative energies in units of kJ/mol of atoms: P 0.0; Q 2.7